VASP calculation (PBE) on crystalline Zr2MnPtCl at its relaxed geometry.

**Final energy**: -6.11 eV/atom
**E_form (uncorrected)**: 0.72 eV/atom
**Space group**: P4/mmm (123)

a = 5.1521 Å, b = 5.1521 Å, c = 4.9527 Å
α = 90.00°, β = 90.00°, γ = 90.00°
Fractional coordinates of all 5 atoms:
1 Zr 0.0000 0.5000 0.0000
2 Zr 0.5000 0.0000 0.0000
3 Mn 0.0000 0.0000 0.5000
4 Pt 0.5000 0.5000 0.0000
5 Cl 0.5000 0.5000 0.5000